Material: KAc2PmTe4
Method: DFT, PBE
State: optimized geometry

Calculated values
Formation energy from raw total energies: -1430 meV per atom
Symmetry: P2/m (10)
E: -4.76 eV/atom

Lattice parameters (Å, degrees): 8.070 4.672 8.249 90.00 109.06 90.00
Fractional positions:
K 0.000 0.000 0.000
Ac 0.500 0.000 0.500
Ac 0.500 0.500 0.000
Pm 0.000 0.500 0.500
Te 0.239 0.000 0.739
Te 0.248 0.500 0.259
Te 0.752 0.500 0.741
Te 0.761 0.000 0.261